# 1
Material: La2Pr6SmDy3
Method: DFT, GGA-PBE
State: relaxed

Calculated values
- ΔE_f: 0.017 eV/atom

```
La2Pr6SmDy3
1.0
-5.204 -3.150 1.908
4.504 1.579 4.227
-5.301 10.896 -0.025
La Pr Sm Dy
2 6 1 3
Direct
0.333 0.667 0.000
0.667 0.333 0.000
0.915 0.582 0.745
0.752 0.752 0.255
0.085 0.418 0.255
0.582 0.915 0.745
0.248 0.248 0.745
0.418 0.085 0.255
0.000 0.000 0.000
0.166 0.834 0.500
0.834 0.166 0.500
0.500 0.500 0.500
```



# 2
Material: PmZr2Tl
Method: DFT, GGA-PBE
State: relaxed

Calculated values
- ΔE_f: -0.038 eV/atom

```
PmZr2Tl
1.0
-1.371 1.313 -4.188
2.967 -3.017 -1.917
-3.295 -3.274 0.052
Tl Zr Pm
1 2 1
Direct
0.500 0.500 0.500
0.000 0.000 0.500
0.000 0.500 0.000
0.500 0.000 0.000
```



# 3
Material: RbCS2
Method: DFT, GGA-PBE
State: relaxed

Calculated values
- Uncorrected formation energy: 1.41 eV/f.u.

```
RbCS2
1.0
-5.379 -2.478 2.537
3.406 -2.326 4.950
-1.629 1.159 5.859
S C Rb
4 2 2
Direct
0.455 0.125 0.250
0.295 0.625 0.250
0.375 0.545 0.750
0.875 0.705 0.750
0.500 0.500 0.000
0.250 0.750 0.500
0.000 0.000 0.000
0.750 0.250 0.500
```



# 4
Material: Pa2Ga4Pd
Method: DFT, GGA-PBE
State: relaxed

Calculated values
- ΔE_f: 0.001 eV/atom

```
Pa2Ga4Pd
1.0
4.593 0.000 0.000
0.000 4.593 0.000
-2.296 -2.296 7.509
Pa Ga Pd
2 4 1
Direct
0.643 0.643 0.286
0.357 0.357 0.714
0.000 0.500 0.000
0.500 0.000 0.000
0.832 0.832 0.664
0.168 0.168 0.336
0.000 0.000 0.000
```



# 5
Material: Sc5Ni
Method: DFT, GGA-PBE
State: relaxed

Calculated values
- ΔE_f: -0.025 eV/atom

```
Sc5Ni
1.0
4.910 0.000 0.000
0.000 3.586 0.000
0.000 -1.793 7.340
Sc Ni
5 1
Direct
0.500 0.829 0.659
0.000 0.641 0.283
0.500 0.500 0.000
0.000 0.359 0.717
0.500 0.171 0.341
0.000 0.000 0.000
```



# 6
Material: PmGaRu2
Method: DFT, GGA-PBE
State: relaxed

Calculated values
- ΔE_f: 0.241 eV/atom

```
PmGaRu2
1.0
-0.792 1.274 -6.311
-0.133 -5.537 -1.101
-9.263 -0.008 1.161
Pm Ga Ru
4 4 8
Direct
0.000 0.250 0.587
0.500 0.750 0.220
0.000 0.750 0.413
0.500 0.250 0.780
0.500 0.750 0.711
0.500 0.250 0.289
0.000 0.250 0.247
0.000 0.750 0.753
0.000 0.000 0.000
0.500 0.500 0.500
0.311 0.750 0.946
0.689 0.250 0.054
0.689 0.750 0.946
0.311 0.250 0.054
0.000 0.500 0.000
0.500 0.000 0.500
```



# 7
Material: Er4Te3Pb
Method: DFT, GGA-PBE
State: relaxed

Calculated values
- Uncorrected formation energy: -8.60 eV/f.u.

```
Er4Te3Pb
1.0
4.367 0.000 0.000
0.000 7.532 0.262
0.000 -2.774 7.007
Er Te Pb
4 3 1
Direct
0.000 0.758 0.758
0.500 0.246 0.754
0.000 0.242 0.242
0.500 0.754 0.246
0.000 0.000 0.500
0.500 0.500 0.500
0.000 0.500 0.000
0.500 0.000 0.000
```



# 8
Material: KYAs2
Method: DFT, GGA-PBE
State: relaxed

Calculated values
- ΔE_f: -0.383 eV/atom

```
KYAs2
1.0
-4.281 -1.803 -4.021
-0.063 -5.773 -2.102
0.351 2.968 5.368
As K Y
2 1 1
Direct
0.000 0.000 0.000
0.250 0.750 0.500
0.500 0.500 0.000
0.750 0.250 0.500
```



# 9
Material: La2Sm3Hg
Method: DFT, GGA-PBE
State: relaxed

Calculated values
- ΔE_f: -0.077 eV/atom

```
La2Sm3Hg
1.0
6.220 0.000 -0.049
3.110 5.399 -0.024
2.191 0.000 11.503
La Sm Hg
4 6 2
Direct
0.000 0.000 0.000
0.500 0.000 0.500
0.164 0.673 0.500
0.836 0.327 0.500
0.425 0.654 0.759
0.265 0.000 0.241
0.575 0.346 0.241
0.921 0.654 0.241
0.079 0.346 0.759
0.735 0.000 0.759
0.667 0.666 0.000
0.333 0.334 0.000
```



# 10
Material: Pr4HgSbN
Method: DFT, GGA-PBE
State: relaxed

Calculated values
- Uncorrected formation energy: -5.80 eV/f.u.

```
Pr4HgSbN
1.0
-1.368 -2.523 6.402
6.831 -1.347 0.929
1.719 8.680 -0.056
Pr Hg Sb N
8 2 2 2
Direct
0.917 0.250 0.835
0.412 0.750 0.823
0.083 0.750 0.165
0.588 0.250 0.177
0.500 0.500 0.500
0.000 0.000 0.500
0.500 0.000 0.500
0.000 0.500 0.500
0.115 0.250 0.230
0.885 0.750 0.770
0.609 0.750 0.219
0.391 0.250 0.781
0.245 0.750 0.490
0.755 0.250 0.510
```



# 11
Material: Fe3IrRh
Method: DFT, GGA-PBE
State: relaxed

Calculated values
- ΔE_f: -0.016 eV/atom

```
Fe3IrRh
1.0
4.199 0.000 -0.002
0.000 4.523 -0.183
0.003 -2.028 6.727
Fe Ir Rh
6 2 2
Direct
0.917 0.700 0.010
0.417 0.159 0.603
0.917 0.498 0.602
0.417 0.361 0.003
0.917 0.902 0.410
0.417 0.563 0.411
0.917 0.110 0.797
0.417 0.951 0.216
0.917 0.309 0.210
0.417 0.752 0.803
```



# 12
Material: RbIn2TeS6
Method: DFT, GGA-PBE
State: relaxed

Calculated values
- Uncorrected formation energy: -3.36 eV/f.u.

```
RbIn2TeS6
1.0
8.507 -0.344 -0.357
2.249 8.231 -0.604
2.249 -0.909 8.203
Rb In Te S
2 4 2 12
Direct
0.250 0.892 0.108
0.750 0.108 0.892
0.354 0.711 0.545
0.146 0.455 0.289
0.646 0.289 0.455
0.854 0.545 0.711
0.250 0.220 0.780
0.750 0.780 0.220
0.162 0.973 0.767
0.338 0.233 0.027
0.838 0.027 0.233
0.662 0.767 0.973
0.439 0.928 0.387
0.061 0.613 0.072
0.561 0.072 0.613
0.939 0.387 0.928
0.047 0.691 0.543
0.453 0.457 0.309
0.953 0.309 0.457
0.547 0.543 0.691
```



# 13
Material: Rb2PmHoO4
Method: DFT, GGA-PBE
State: relaxed

Calculated values
- Uncorrected formation energy: -21.15 eV/f.u.

```
Rb2PmHoO4
1.0
-2.129 -0.283 -2.846
-1.165 -5.887 1.457
-4.741 3.876 3.162
Rb Pm Ho O
2 1 1 4
Direct
0.500 0.000 0.500
0.000 0.500 0.500
0.500 0.500 0.000
0.000 0.000 0.000
0.500 0.218 0.176
0.500 0.782 0.824
0.000 0.266 0.822
0.000 0.734 0.178
```



# 14
Material: Tl2ZnPbF
Method: DFT, GGA-PBE
State: relaxed

Calculated values
- Uncorrected formation energy: -1.26 eV/f.u.

```
Tl2ZnPbF
1.0
6.197 0.000 0.000
0.000 4.659 0.000
0.000 0.000 6.197
Pb Tl Zn F
1 2 1 1
Direct
0.000 0.000 0.000
0.000 0.000 0.500
0.500 0.000 0.000
0.500 0.500 0.500
0.000 0.500 0.000
```



# 15
Material: Ac4SiIrI2
Method: DFT, GGA-PBE
State: relaxed

Calculated values
- Uncorrected formation energy: -7.54 eV/f.u.

```
Ac4SiIrI2
1.0
4.429 0.000 0.000
0.000 8.048 0.288
0.000 -2.703 8.316
Ac Si Ir I
4 1 1 2
Direct
0.500 0.246 0.190
0.500 0.754 0.810
0.000 0.285 0.814
0.000 0.715 0.186
0.000 0.000 0.000
0.500 0.500 0.000
0.500 0.000 0.500
0.000 0.500 0.500
```



# 16
Material: Tm3Co3Ge8
Method: DFT, GGA-PBE
State: relaxed

Calculated values
- ΔE_f: -0.417 eV/atom

```
Tm3Co3Ge8
1.0
-2.345 1.659 2.692
-7.818 -4.684 -1.045
-3.393 -7.562 4.582
Tm Co Ge
3 3 8
Direct
0.250 0.806 0.694
0.750 0.194 0.306
0.000 0.000 0.000
0.000 0.500 0.500
0.654 0.682 0.011
0.346 0.318 0.989
0.122 0.229 0.528
0.878 0.771 0.472
0.810 0.494 0.885
0.190 0.506 0.115
0.541 0.621 0.297
0.459 0.379 0.703
0.378 0.992 0.252
0.622 0.008 0.748
```



# 17
Material: Dy3ErSc6
Method: DFT, GGA-PBE
State: relaxed

Calculated values
- ΔE_f: 0.158 eV/atom

```
Dy3ErSc6
1.0
5.839 0.000 0.000
0.000 10.288 -1.500
0.000 -3.758 9.694
Dy Er Sc
6 2 12
Direct
0.467 0.931 0.720
0.967 0.720 0.931
0.060 0.396 0.604
0.560 0.604 0.396
0.967 0.069 0.280
0.467 0.280 0.069
0.157 0.211 0.789
0.657 0.789 0.211
0.020 0.718 0.614
0.520 0.614 0.718
0.362 0.541 0.970
0.862 0.970 0.541
0.434 0.952 0.048
0.636 0.287 0.713
0.136 0.713 0.287
0.934 0.048 0.952
0.362 0.030 0.459
0.862 0.459 0.030
0.020 0.386 0.282
0.520 0.282 0.386
```



# 18
Material: Pa2CoRh
Method: DFT, GGA-PBE
State: relaxed

Calculated values
- ΔE_f: -0.535 eV/atom

```
Pa2CoRh
1.0
-2.367 -2.004 2.418
4.650 -1.630 3.202
-3.136 6.485 2.305
Pa Co Rh
4 2 2
Direct
0.750 0.214 0.446
0.250 0.786 0.554
0.250 0.768 0.067
0.750 0.232 0.933
0.750 0.701 0.285
0.250 0.299 0.715
0.250 0.307 0.217
0.750 0.693 0.783
```



# 19
Material: Ta3AlAs
Method: DFT, GGA-PBE
State: relaxed

Calculated values
- ΔE_f: 0.905 eV/atom

```
Ta3AlAs
1.0
-0.604 4.301 1.856
-3.982 0.513 -2.487
-2.466 -1.883 3.561
As Al Ta
1 1 3
Direct
0.000 0.000 0.000
0.500 0.500 0.500
0.000 0.500 0.000
0.000 0.000 0.500
0.500 0.000 0.000
```



# 20
Material: ZrB2SbC
Method: DFT, GGA-PBE
State: relaxed

Calculated values
- Uncorrected formation energy: 8.83 eV/f.u.

```
ZrB2SbC
1.0
-2.612 -3.600 -0.802
1.300 -0.031 -4.098
3.425 -2.732 1.107
Sb C B Zr
1 1 2 1
Direct
0.500 0.500 0.500
0.000 0.500 0.000
0.000 0.000 0.500
0.500 0.000 0.000
0.000 0.000 0.000
```



# 21
Material: CdGe3B
Method: DFT, GGA-PBE
State: relaxed

Calculated values
- ΔE_f: 1.749 eV/atom

```
CdGe3B
1.0
5.133 0.000 0.000
0.000 5.133 0.000
0.000 0.000 5.133
Ge B Cd
3 1 1
Direct
0.000 0.500 0.000
0.000 0.000 0.500
0.500 0.000 0.000
0.500 0.500 0.500
0.000 0.000 0.000
```



# 22
Material: Y2MnTeC
Method: DFT, GGA-PBE
State: relaxed

Calculated values
- Uncorrected formation energy: -2.56 eV/f.u.

```
Y2MnTeC
1.0
-1.337 -3.154 3.740
4.536 0.653 2.173
-1.376 2.940 1.988
Y C Te Mn
2 1 1 1
Direct
0.000 0.500 0.000
0.500 0.000 0.000
0.000 0.000 0.000
0.500 0.500 0.500
0.000 0.000 0.500
```



# 23
Material: Ti2Nb3W2
Method: DFT, GGA-PBE
State: relaxed

Calculated values
- ΔE_f: -0.009 eV/atom

```
Ti2Nb3W2
1.0
-1.861 -2.527 0.826
3.246 -4.080 1.288
1.070 1.537 7.097
Ti Nb W
2 3 2
Direct
0.576 0.847 0.712
0.424 0.153 0.288
0.000 0.000 0.000
0.852 0.295 0.580
0.148 0.705 0.420
0.715 0.570 0.134
0.285 0.430 0.866
```